Material: TlMoPt2
Method: DFT, PBE
State: relaxed

a = 6.569 Å, b = 6.569 Å, c = 6.569 Å
α = 90.00°, β = 90.00°, γ = 90.00°
Fractional positions:
Tl  0.000  0.000  0.000
Tl  0.000  0.500  0.500
Tl  0.500  0.000  0.500
Tl  0.500  0.500  0.000
Mo  0.000  0.000  0.500
Mo  0.000  0.500  0.000
Mo  0.500  0.000  0.000
Mo  0.500  0.500  0.500
Pt  0.250  0.250  0.250
Pt  0.250  0.250  0.750
Pt  0.250  0.750  0.250
Pt  0.250  0.750  0.750
Pt  0.750  0.250  0.250
Pt  0.750  0.250  0.750
Pt  0.750  0.750  0.250
Pt  0.750  0.750  0.750

Results
Its space-group type is Fm-3m, No. 225. For the energy relative to the elements, the calculation gives 0.2740 eV per atom. Its excess energy over the best structure of this formula in the dataset is 0.324 eV/atom. The crystal system is cubic.